Record 1
Below is a geometry-optimized CuSi2Pt structure, with properties calculated at the PBE level.

Unit cell a=2.8288 b=2.8288 c=7.0772 alpha=90.00 beta=90.00 gamma=90.00
Closest atoms and distances in Å follow each position.
Element x y z (fractional)
Cu 0.0000 0.0000 0.0000  8 Si 2.66, 4 Cu 2.83
Si 0.5000 0.5000 0.2473  4 Cu 2.66, 4 Pt 2.68, 4 Si 2.83
Si 0.5000 0.5000 0.7527  4 Cu 2.66, 4 Pt 2.68, 4 Si 2.83
Pt 0.0000 0.0000 0.5000  8 Si 2.68, 4 Pt 2.83

Output
The value obtained for the density of states at the Fermi level is 2.362 states/eV per cell. The value obtained for the total energy is -5.230 eV per atom. The value obtained for the relative energy among the computed polymorphs is 0.244 eV/atom.



Record 2
Below is a geometry-optimized Ba2Zn15Ag2 structure, with properties calculated at the PBE level.

Unit cell a=7.1244 b=7.1244 c=7.1244 alpha=82.62 beta=82.62 gamma=82.62
Closest atoms and distances in Å follow each position.
Element x y z (fractional)
Ba 0.1566 0.1566 0.1566  1 Ag 3.32, 18 Zn 3.40-3.65
Ba 0.8434 0.8434 0.8434  1 Ag 3.32, 18 Zn 3.40-3.65
Zn 0.0000 0.5000 0.5000  8 Zn 2.69-2.71, 2 Ag 2.85
Zn 0.1581 0.1581 0.6552  8 Zn 2.71-2.99, 1 Ag 2.88
Zn 0.1581 0.6552 0.1581  8 Zn 2.71-2.99, 1 Ag 2.88
Zn 0.2177 0.5000 0.7823  6 Zn 2.66-2.80
Zn 0.2177 0.7823 0.5000  6 Zn 2.66-2.80
Zn 0.3448 0.8419 0.8419  8 Zn 2.71-2.99, 1 Ag 2.88
Zn 0.5000 0.0000 0.5000  8 Zn 2.69-2.71, 2 Ag 2.85
Zn 0.5000 0.2177 0.7823  6 Zn 2.66-2.80
Zn 0.5000 0.5000 0.0000  8 Zn 2.69-2.71, 2 Ag 2.85
Zn 0.5000 0.7823 0.2177  6 Zn 2.66-2.80
Zn 0.6552 0.1581 0.1581  8 Zn 2.71-2.99, 1 Ag 2.88
Zn 0.7823 0.2177 0.5000  6 Zn 2.66-2.80
Zn 0.7823 0.5000 0.2177  6 Zn 2.66-2.80
Zn 0.8419 0.3448 0.8419  8 Zn 2.71-2.99, 1 Ag 2.88
Zn 0.8419 0.8419 0.3448  8 Zn 2.71-2.99, 1 Ag 2.88
Ag 0.3963 0.3963 0.3963  12 Zn 2.85-3.02, 1 Ag 2.87
Ag 0.6037 0.6037 0.6037  12 Zn 2.85-3.02, 1 Ag 2.87

Output
The value obtained for the density of states at the Fermi level is 5.387 states/eV per cell. The value obtained for the total energy is -1.655 eV per atom.